Model a:
Material: CsNaTeN2
Method: DFT, PBE
State: relaxed

a b c (Å): 5.0206 5.0206 7.2941
angles (deg): 90.00 90.00 90.00
Space group P4/mmm (No. 123)
Symmetry-distinct sites (fractional):
Cs 0.0000 0.0000 0.0000
Na 0.5000 0.5000 0.5000
Te 0.0000 0.0000 0.5000
N 0.0000 0.5000 0.0000

---

Model b:
Material: CsNaTeN2
Method: DFT, PBE
State: relaxed

a b c (Å): 5.3587 5.3587 5.9143
angles (deg): 90.00 90.00 90.00
Space group P4/mmm (No. 123)
Symmetry-distinct sites (fractional):
Cs 0.0000 0.0000 0.0000
Na 0.5000 0.5000 0.5000
Te 0.5000 0.5000 0.0000
N 0.0000 0.5000 0.5000

---

Which of them is most stable, and which least? Most stable: model b; least stable: model a.

---

Model a:
Material: CsNb2N2
Method: DFT, PBE
State: relaxed

a b c (Å): 4.1015 4.1015 14.4474
angles (deg): 90.00 90.00 90.00
Space group I4/mmm (No. 139)
Symmetry-distinct sites (fractional):
Cs 0.0000 0.0000 0.0000
Nb 0.0000 0.5000 0.2500
N 0.0000 0.0000 0.2869

---

Model b:
Material: CsNb2N2
Method: DFT, PBE
State: relaxed

a b c (Å): 7.4486 7.4486 3.0001
angles (deg): 90.00 90.00 90.00
Space group P4/mbm (No. 127)
Symmetry-distinct sites (fractional):
Cs 0.0000 0.0000 0.0000
Nb 0.1163 0.3837 0.5000
N 0.1155 0.6155 0.0000

---

Which of them is most stable, and which least? Most stable: model a; least stable: model b.

---

Model a:
Material: CsNbSeN2
Method: DFT, PBE
State: relaxed

a b c (Å): 4.1760 4.1760 6.2395
angles (deg): 90.00 90.00 90.00
Space group P4/mmm (No. 123)
Symmetry-distinct sites (fractional):
Cs 0.0000 0.0000 0.0000
Nb 0.5000 0.5000 0.5000
Se 0.0000 0.0000 0.5000
N 0.0000 0.5000 0.0000

---

Model b:
Material: CsNbSeN2
Method: DFT, PBE
State: relaxed

a b c (Å): 4.2679 4.2679 5.3167
angles (deg): 90.00 90.00 90.00
Space group P4/mmm (No. 123)
Symmetry-distinct sites (fractional):
Cs 0.0000 0.0000 0.0000
Nb 0.5000 0.5000 0.5000
Se 0.5000 0.5000 0.0000
N 0.0000 0.5000 0.5000

---

Which of them is most stable, and which least? Most stable: model b; least stable: model a.

---

Model a:
Material: CsNbTeN2
Method: DFT, PBE
State: relaxed

a b c (Å): 4.4146 4.4146 5.6641
angles (deg): 90.00 90.00 90.00
Space group P4/mmm (No. 123)
Symmetry-distinct sites (fractional):
Cs 0.0000 0.0000 0.0000
Nb 0.5000 0.5000 0.5000
Te 0.5000 0.5000 0.0000
N 0.0000 0.5000 0.5000

---

Model b:
Material: CsNbTeN2
Method: DFT, PBE
State: relaxed

a b c (Å): 4.2567 4.2567 6.6811
angles (deg): 90.00 90.00 90.00
Space group P4/mmm (No. 123)
Symmetry-distinct sites (fractional):
Cs 0.0000 0.0000 0.0000
Nb 0.5000 0.5000 0.5000
Te 0.0000 0.0000 0.5000
N 0.0000 0.5000 0.0000

---

Which of them is most stable, and which least? Most stable: model a; least stable: model b.

---

Model a:
Material: CsNiN2
Method: DFT, PBE
State: relaxed

a b c (Å): 6.2498 6.2498 6.2498
angles (deg): 90.00 90.00 90.00
Space group Fm-3m (No. 225)
Symmetry-distinct sites (fractional):
Cs 0.0000 0.0000 0.0000
Ni 0.0000 0.0000 0.5000
N 0.2500 0.2500 0.2500

---

Model b:
Material: CsNiN2
Method: DFT, PBE
State: relaxed

a b c (Å): 4.6585 4.6585 19.6060
angles (deg): 90.00 90.00 120.00
Space group R-3m (No. 166, hexagonal axes)
Symmetry-distinct sites (fractional):
Cs 0.0000 0.0000 0.0000
Ni 0.0000 0.0000 0.5000
N 0.0000 0.0000 0.4172

---

Which of them is most stable, and which least? Most stable: model b; least stable: model a.

---

Model a:
Material: CsNiN
Method: DFT, PBE
State: relaxed

a b c (Å): 11.5156 3.5192 6.4926
angles (deg): 90.00 90.00 90.00
Space group Pnma (No. 62)
Symmetry-distinct sites (fractional):
Cs 0.1590 0.2500 0.0695
Ni 0.0501 0.2500 0.5786
N 0.0700 0.7500 0.6442

---

Model b:
Material: CsNiN
Method: DFT, PBE
State: relaxed

a b c (Å): 3.6610 3.6610 10.8314
angles (deg): 90.00 90.00 90.00
Space group P4/nmm (No. 129, origin choice 2)
Symmetry-distinct sites (fractional):
Cs 0.2500 0.2500 0.2383
Ni 0.2500 0.7500 0.5000
N 0.2500 0.2500 0.5668

---

Model c:
Material: CsNiN
Method: DFT, PBE
State: relaxed

a b c (Å): 5.5118 5.5118 3.4480
angles (deg): 90.00 90.00 120.00
Space group P-6m2 (No. 187)
Symmetry-distinct sites (fractional):
Cs 0.0000 0.0000 0.0000
Ni 0.6667 0.3333 0.5000
N 0.6667 0.3333 0.0000

---

Which of them is most stable, and which least? Most stable: model a; least stable: model b.

---

Model a:
Material: CsNi3N
Method: DFT, PBE
State: relaxed

a b c (Å): 4.7850 4.7850 4.7850
angles (deg): 90.00 90.00 90.00
Space group Pm-3m (No. 221)
Symmetry-distinct sites (fractional):
Cs 0.0000 0.0000 0.0000
Ni 0.0000 0.0000 0.5000
N 0.5000 0.5000 0.5000

---

Model b:
Material: CsNi3N
Method: DFT, PBE
State: relaxed

a b c (Å): 4.1413 4.1413 4.1413
angles (deg): 90.00 90.00 90.00
Space group Pm-3m (No. 221)
Symmetry-distinct sites (fractional):
Cs 0.0000 0.0000 0.0000
Ni 0.0000 0.5000 0.5000
N 0.5000 0.5000 0.5000

---

Which of them is most stable, and which least? Most stable: model b; least stable: model a.

---

Model a:
Material: CsNiS2N
Method: DFT, PBE
State: relaxed

a b c (Å): 5.4578 5.4578 4.3248
angles (deg): 90.00 90.00 90.00
Space group P4/mmm (No. 123)
Symmetry-distinct sites (fractional):
Cs 0.0000 0.0000 0.0000
Ni 0.5000 0.5000 0.5000
S 0.0000 0.5000 0.0000
N 0.0000 0.0000 0.5000

---

Model b:
Material: CsNiS2N
Method: DFT, PBE
State: relaxed

a b c (Å): 5.4490 5.4490 3.4668
angles (deg): 90.00 90.00 90.00
Space group P4/mmm (No. 123)
Symmetry-distinct sites (fractional):
Cs 0.0000 0.0000 0.0000
Ni 0.5000 0.5000 0.5000
S 0.0000 0.5000 0.5000
N 0.5000 0.5000 0.0000

---

Which of them is most stable, and which least? Most stable: model b; least stable: model a.

---

Model a:
Material: CsNiSe2N
Method: DFT, PBE
State: relaxed

a b c (Å): 5.9345 5.9345 4.4578
angles (deg): 90.00 90.00 90.00
Space group P4/mmm (No. 123)
Symmetry-distinct sites (fractional):
Cs 0.0000 0.0000 0.0000
Ni 0.5000 0.5000 0.5000
Se 0.0000 0.5000 0.0000
N 0.0000 0.0000 0.5000

---

Model b:
Material: CsNiSe2N
Method: DFT, PBE
State: relaxed

a b c (Å): 5.8988 5.8988 3.3941
angles (deg): 90.00 90.00 90.00
Space group P4/mmm (No. 123)
Symmetry-distinct sites (fractional):
Cs 0.0000 0.0000 0.0000
Ni 0.5000 0.5000 0.5000
Se 0.0000 0.5000 0.5000
N 0.5000 0.5000 0.0000

---

Which of them is most stable, and which least? Most stable: model b; least stable: model a.

---

Model a:
Material: CsNiTe2N
Method: DFT, PBE
State: relaxed

a b c (Å): 6.2891 6.2891 3.4290
angles (deg): 90.00 90.00 90.00
Space group P4/mmm (No. 123)
Symmetry-distinct sites (fractional):
Cs 0.0000 0.0000 0.0000
Ni 0.5000 0.5000 0.5000
Te 0.0000 0.5000 0.5000
N 0.5000 0.5000 0.0000

---

Model b:
Material: CsNiTe2N
Method: DFT, PBE
State: relaxed

a b c (Å): 6.4940 6.4940 4.1709
angles (deg): 90.00 90.00 90.00
Space group P4/mmm (No. 123)
Symmetry-distinct sites (fractional):
Cs 0.0000 0.0000 0.0000
Ni 0.5000 0.5000 0.5000
Te 0.0000 0.5000 0.0000
N 0.0000 0.0000 0.5000

---

Which of them is most stable, and which least? Most stable: model a; least stable: model b.

---

Model a:
Material: CsNpN2
Method: DFT, PBE
State: relaxed

a b c (Å): 3.1093 3.1093 7.1289
angles (deg): 90.00 90.00 90.00
Space group P4/mmm (No. 123)
Symmetry-distinct sites (fractional):
Cs 0.0000 0.0000 0.0000
Np 0.0000 0.0000 0.5000
N 0.5000 0.5000 0.3350

---

Model b:
Material: CsNpN2
Method: DFT, PBE
State: relaxed

a b c (Å): 3.5561 3.5561 21.1633
angles (deg): 90.00 90.00 120.00
Space group R3m (No. 160, hexagonal axes)
Symmetry-distinct sites (fractional):
Cs 0.0000 0.0000 0.0000
Np 0.0000 0.0000 0.1696
N 0.0000 0.0000 0.5507
N 0.0000 0.0000 0.7910

---

Which of them is most stable, and which least? Most stable: model b; least stable: model a.

---

Model a:
Material: CsOsN2
Method: DFT, PBE
State: relaxed

a b c (Å): 5.9444 5.9444 9.1940
angles (deg): 90.00 90.00 90.00
Space group I-42d (No. 122)
Symmetry-distinct sites (fractional):
Cs 0.0000 0.0000 0.0000
Os 0.0000 0.0000 0.5000
N 0.0014 0.7500 0.6250

---

Model b:
Material: CsOsN2
Method: DFT, PBE
State: relaxed

a b c (Å): 3.3637 3.3637 21.0946
angles (deg): 90.00 90.00 120.00
Space group R-3m (No. 166, hexagonal axes)
Symmetry-distinct sites (fractional):
Cs 0.0000 0.0000 0.0000
Os 0.0000 0.0000 0.5000
N 0.0000 0.0000 0.1313

---

Which of them is most stable, and which least? Most stable: model a; least stable: model b.